This record from Alexandria describes a relaxed structure of Na2TcWO6. The functional is PBE+U.

Unit cell a=5.5537 b=5.5537 c=3.8969 alpha=90.00 beta=90.00 gamma=90.00
Closest atoms and distances in Å follow each position.
Space group P4/mmm (No. 123)
Asymmetric unit:
1 Na 0.0000 0.5000 0.0000 x2  12 O 2.77-2.78
2 Tc 0.0000 0.0000 0.5000 x1  6 O 1.95-1.99
3 W 0.5000 0.5000 0.5000 x1  6 O 1.93-1.95
4 O 0.0000 0.0000 0.0000 x1  2 Tc 1.95
5 O 0.2540 0.2540 0.5000 x4  1 W 1.93, 1 Tc 1.99
6 O 0.5000 0.5000 0.0000 x1  2 W 1.95

Calculated values
- calculated volume (Å³ per cell) = 120
- total energy (eV per atom) = -6.8042